The following is a GGA-PBE calculation of a relaxed PmH8Rh2 crystal, from Alexandria.

Cell and atoms, written as POSCAR:
```
PmH8Rh2
1.0
-2.204 2.204 4.962
2.204 -2.204 4.962
2.204 2.204 -4.962
Pm H Rh
1 8 2
Cartesian
0.000 0.000 0.000 Pm
1.226 1.226 -1.573 H
0.978 -0.978 3.388 H
1.226 1.226 1.573 H
0.978 -0.978 6.535 H
-0.978 0.978 3.388 H
0.978 0.978 3.388 H
-0.978 0.978 6.535 H
0.978 0.978 6.535 H
2.204 0.000 2.481 Rh
0.000 2.204 2.481 Rh
```

## Properties
* ρ: 6.18 g cm⁻³
* Fermi-level density of states: 4.6 states/eV/f.u.
* energy above the most stable polymorph in this dataset: 75.4 meV/atom



The following is a GGA-PBE calculation of a relaxed HfSnPd2 crystal, from Alexandria.

Cell and atoms, written as POSCAR:
```
HfSnPd2
1.0
4.161 0.000 0.000
0.000 4.161 0.000
0.000 0.000 18.469
Hf Sn Pd
4 4 8
Cartesian
0.000 0.000 0.000 Hf
0.000 2.081 4.617 Hf
2.081 0.000 13.852 Hf
2.081 2.081 9.235 Hf
0.000 0.000 9.235 Sn
0.000 2.081 13.852 Sn
2.081 0.000 4.617 Sn
2.081 2.081 0.000 Sn
1.037 1.040 11.543 Pd
1.040 3.118 16.160 Pd
1.040 3.124 6.926 Pd
1.043 1.040 2.309 Pd
3.118 3.121 2.309 Pd
3.121 1.037 6.926 Pd
3.121 1.043 16.160 Pd
3.124 3.121 11.543 Pd
```

## Properties
* ρ: 10.59 g cm⁻³
* Fermi-level density of states: 3.1 states/eV/f.u.
* DFT formation energy: -292 meV per atom



The following is a GGA-PBE calculation of a relaxed KTcNi crystal, from Alexandria.

Cell and atoms, written as POSCAR:
```
KTcNi
1.0
3.926 0.000 0.000
-1.963 3.400 0.000
0.000 0.000 5.655
K Tc Ni
1 1 1
Cartesian
0.000 0.000 0.000 K
0.000 2.267 2.828 Tc
1.963 1.133 2.828 Ni
```

## Properties
* ρ: 4.31 g cm⁻³
* Fermi-level density of states: 3.1 states/eV/f.u.
* DFT formation energy: 1105 meV per atom
* energy above the most stable polymorph in this dataset: 679.3 meV/atom



The following is a GGA-PBE calculation of a relaxed LiMg4Zn2 crystal, from Alexandria.

Cell and atoms, written as POSCAR:
```
LiMg4Zn2
1.0
2.316 1.337 7.515
-2.316 1.337 7.515
0.000 -2.675 7.515
Li Mg Zn
1 4 2
Cartesian
0.000 0.000 0.000 Li
0.000 0.000 2.912 Mg
0.000 0.000 8.620 Mg
0.000 0.000 13.925 Mg
0.000 0.000 19.634 Mg
0.000 0.000 5.739 Zn
0.000 0.000 16.806 Zn
```

## Properties
* ρ: 2.79 g cm⁻³
* Fermi-level density of states: 1.4 states/eV/f.u.
* DFT formation energy: -83 meV per atom



The following is a GGA-PBE calculation of a relaxed Fe3Mo5 crystal, from Alexandria.

Cell and atoms, written as POSCAR:
```
Fe3Mo5
1.0
6.112 0.000 0.000
0.000 8.649 0.000
0.000 0.000 4.332
Fe Mo
6 10
Cartesian
0.000 0.000 0.000 Fe
0.000 2.143 2.166 Fe
0.000 6.506 2.166 Fe
3.056 2.181 2.166 Fe
3.056 4.325 0.000 Fe
3.056 6.468 2.166 Fe
0.000 4.325 0.000 Mo
1.488 0.000 2.166 Mo
1.528 2.162 0.000 Mo
1.528 6.487 0.000 Mo
1.568 4.325 2.166 Mo
3.056 0.000 0.000 Mo
4.543 4.325 2.166 Mo
4.584 2.162 0.000 Mo
4.584 6.487 0.000 Mo
4.624 0.000 2.166 Mo
```

## Properties
* ρ: 9.39 g cm⁻³
* Fermi-level density of states: 7.7 states/eV/f.u.
* DFT formation energy: 152 meV per atom
* energy above the most stable polymorph in this dataset: 0.0 meV/atom



The following is a GGA-PBE calculation of a relaxed CaAcNdHo crystal, from Alexandria.

Cell and atoms, written as POSCAR:
```
CaAcNdHo
1.0
3.786 0.000 0.000
0.000 3.786 0.000
0.000 0.000 10.639
Ca Ac Nd Ho
1 1 1 1
Cartesian
0.000 0.000 0.000 Ca
1.893 1.893 7.635 Ac
0.000 0.000 4.941 Nd
1.893 1.893 2.634 Ho
```

## Properties
* ρ: 6.27 g cm⁻³
* Fermi-level density of states: 5.9 states/eV/f.u.
* DFT formation energy: 64 meV per atom
* energy above the most stable polymorph in this dataset: 0.0 meV/atom



The following is a GGA-PBE calculation of a relaxed Sm6C3Se2 crystal, from Alexandria.

Cell and atoms, written as POSCAR:
```
Sm6C3Se2
1.0
3.294 -5.709 0.000
3.294 5.709 0.000
-2.219 0.000 6.833
Sm C Se
6 3 2
Cartesian
1.079 1.932 1.386 Sm
-0.057 0.000 5.481 Sm
1.079 -1.932 1.386 Sm
3.290 1.932 5.447 Sm
4.425 0.000 1.351 Sm
3.290 -1.932 5.447 Sm
0.000 0.000 0.000 C
3.294 1.953 0.000 C
3.294 -1.953 0.000 C
2.184 3.821 3.416 Se
2.184 -3.821 3.416 Se
```

## Properties
* ρ: 7.08 g cm⁻³
* Fermi-level density of states: 4.2 states/eV/f.u.
* energy relative to the elements, uncorrected: -831 meV/atom



The following is a GGA-PBE calculation of a relaxed KOs2Br crystal, from Alexandria.

Cell and atoms, written as POSCAR:
```
KOs2Br
1.0
2.749 0.000 0.000
0.000 7.161 0.000
-0.023 0.000 4.764
K Os Br
1 2 1
Cartesian
0.000 0.000 0.000 K
0.873 3.581 3.584 Os
1.853 3.581 1.180 Os
1.363 0.000 2.382 Br
```

## Properties
* ρ: 8.84 g cm⁻³
* Fermi-level density of states: 4.7 states/eV/f.u.
* energy above the most stable polymorph in this dataset: 652.1 meV/atom
* energy relative to the elements, uncorrected: 1098 meV/atom



What did the fourth record say?
The following is a GGA-PBE calculation of a relaxed LiMg4Zn2 crystal, from Alexandria.

Cell and atoms, written as POSCAR:
```
LiMg4Zn2
1.0
2.316 1.337 7.515
-2.316 1.337 7.515
0.000 -2.675 7.515
Li Mg Zn
1 4 2
Cartesian
0.000 0.000 0.000 Li
0.000 0.000 2.912 Mg
0.000 0.000 8.620 Mg
0.000 0.000 13.925 Mg
0.000 0.000 19.634 Mg
0.000 0.000 5.739 Zn
0.000 0.000 16.806 Zn
```

## Properties
* ρ: 2.79 g cm⁻³
* Fermi-level density of states: 1.4 states/eV/f.u.
* DFT formation energy: -83 meV per atom